Entry 1:
Computed, not measured: a relaxed structure of Nd2P3Rh6 at the PBE level of DFT.

Values from the calculation:
Calculated volume   16.93 Å³/atom
DFT total energy   -79.55 eV for the cell shown

Unit cell a=7.1609 b=7.1609 c=4.1944 alpha=90.00 beta=90.00 gamma=120.00
Space group P-62m (No. 189)
Inequivalent atoms, fractional coordinates:
Nd1 0.3333 0.6667 0.0000 [2 per cell]
P1 0.0000 0.3750 0.5000 [3 per cell]
Rh1 0.0000 0.2185 0.0000 [3 per cell]
Rh2 0.0000 0.7096 0.5000 [3 per cell]

Entry 2:
Computed, not measured: a relaxed structure of Nd2P7Rh12 at the PBE level of DFT.

Values from the calculation:
Calculated volume   14.97 Å³/atom
DFT total energy   -154.77 eV for the cell shown

Unit cell a=9.6352 b=9.6352 c=3.9102 alpha=90.00 beta=90.00 gamma=120.00
Space group P-3 (No. 147)
Inequivalent atoms, fractional coordinates:
Nd1 0.3333 0.6667 0.2481 [2 per cell]
P1 0.0000 0.0000 0.0000 [1 per cell]
P2 0.1158 0.4030 0.7451 [6 per cell]
Rh1 0.0645 0.6187 0.7492 [6 per cell]
Rh2 0.1102 0.8501 0.2496 [6 per cell]

Entry 3:
Computed, not measured: a relaxed structure of Nd3PRh3 at the PBE level of DFT.

Values from the calculation:
Calculated volume   21.72 Å³/atom
DFT total energy   -191.13 eV for the cell shown

Unit cell a=10.680 b=4.076 c=14.743 alpha=90.00 beta=108.66 gamma=90.00
Space group C2/m (No. 12)
Inequivalent atoms, fractional coordinates:
Nd1 0.015 0.000 0.383 [4 per cell]
Nd2 0.107 0.000 0.925 [4 per cell]
Nd3 0.239 0.000 0.227 [4 per cell]
P1 0.237 0.500 0.386 [4 per cell]
Rh1 0.038 0.500 0.242 [4 per cell]
Rh2 0.119 0.500 0.077 [4 per cell]
Rh3 0.186 0.500 0.536 [4 per cell]

Entry 4:
Computed, not measured: a relaxed structure of NdP2Rh2 at the PBE level of DFT.

Values from the calculation:
Calculated volume   16.70 Å³/atom
DFT total energy   -71.63 eV for the cell shown

Unit cell a=4.175 b=4.175 c=9.583 alpha=90.00 beta=90.00 gamma=90.00
Space group P4/nmm (No. 129, origin choice 2)
Inequivalent atoms, fractional coordinates:
Nd1 0.250 0.250 0.242 [2 per cell]
P1 0.250 0.250 0.638 [2 per cell]
P2 0.250 0.750 0.000 [2 per cell]
Rh1 0.250 0.250 0.888 [2 per cell]
Rh2 0.250 0.750 0.500 [2 per cell]